<a>
# Ho2Er3Tm2

A relaxed structure of Ho2Er3Tm2 (PBE, Alexandria).

a b c (Å): 4.945 6.055 7.821
angles (deg): 97.45 90.00 114.10
Positions (direct):
Ho 0.786 0.571 0.857
Ho 0.214 0.429 0.143
Er 0.500 0.000 0.000
Er 0.643 0.286 0.429
Er 0.357 0.714 0.571
Tm 0.929 0.857 0.286
Tm 0.071 0.143 0.714

Summary:
* Fermi-level density of states: 1.356 states/eV per atom
* symmetry: C2/m (12)


<b>
# Ho2Er3Tm2

A relaxed structure of Ho2Er3Tm2 (PBE, Alexandria).

a b c (Å): 3.472 11.319 5.988
angles (deg): 75.46 73.13 90.11
Positions (direct):
Ho 0.765 0.134 0.472
Ho 0.235 0.866 0.528
Er 0.000 0.000 0.000
Er 0.850 0.441 0.297
Er 0.150 0.559 0.703
Tm 0.533 0.284 0.935
Tm 0.467 0.716 0.065

Summary:
* Fermi-level density of states: 1.640 states/eV per atom
* symmetry: P-1 (2)


Most stable one: <a>, least stable one: <b>.


<a>
# YHoErTm

A relaxed structure of YHoErTm (PBE, Alexandria).

a b c (Å): 5.630 5.630 5.630
angles (deg): 60.00 60.00 60.00
Positions (direct):
Y 0.750 0.750 0.750
Tm 0.000 0.000 0.000
Ho 0.250 0.250 0.250
Er 0.500 0.500 0.500

Summary:
* Fermi-level density of states: 2.644 states/eV per atom
* symmetry: F-43m (216)


<b>
# YHoErTm

A relaxed structure of YHoErTm (PBE, Alexandria).

a b c (Å): 4.978 4.980 6.103
angles (deg): 114.08 114.07 90.00
Positions (direct):
Y 0.370 0.870 0.740
Ho 0.120 0.120 0.240
Er 0.870 0.370 0.740
Tm 0.620 0.620 0.240

Summary:
* Fermi-level density of states: 1.485 states/eV per atom
* symmetry: I-4m2 (119)


Most stable one: <b>, least stable one: <a>.


<a>
# HoErTmZn

A relaxed structure of HoErTmZn (PBE, Alexandria).

a b c (Å): 3.525 3.525 8.526
angles (deg): 90.00 90.00 90.00
Positions (direct):
Ho 0.000 0.000 0.072
Er 0.500 0.500 0.778
Tm 0.500 0.500 0.365
Zn 0.000 0.000 0.570

Summary:
* Fermi-level density of states: 1.010 states/eV per atom
* symmetry: P4mm (99)


<b>
# HoErTmZn

A relaxed structure of HoErTmZn (PBE, Alexandria).

a b c (Å): 5.275 5.275 5.275
angles (deg): 60.00 60.00 60.00
Positions (direct):
Zn 0.000 0.000 0.000
Tm 0.500 0.500 0.500
Ho 0.750 0.750 0.750
Er 0.250 0.250 0.250

Summary:
* Fermi-level density of states: 1.068 states/eV per atom
* symmetry: F-43m (216)


Most stable one: <a>, least stable one: <b>.